CaRu2Au PBE relaxed; calculated formation energy = 10 kJ per mole of atoms; symmetry = P4mm
1.0
-2.6342 0.6291 -1.2314
-0.3063 -2.8490 -0.8005
-3.6468 -1.5740 6.9974
Au Ru Ca
1 2 1
Cartesian
-1.7311 -0.7472 3.3217
-0.1463 -0.0632 0.2808
-2.2880 -1.4629 0.5532
-4.2452 -2.3076 4.3087

=====

PmTc2SbO8 PBE relaxed; symmetry = P2/m; E_form (uncorrected) = -1669 meV/atom
1.0
-1.8233 3.4657 2.8317
-4.4873 -0.9883 -1.4595
-0.6435 -4.3763 4.9419
O Tc Sb Pm
8 2 1 1
Cartesian
-4.4341 -3.5024 3.2477
-2.8781 -0.8312 5.8159
-2.5200 1.6035 3.0664
-4.5580 -0.5408 3.3782
-4.0760 -1.0677 0.4983
-1.9205 0.7685 0.4305
-2.3962 -1.3581 2.9360
-5.0337 -2.6674 5.8836
-3.3125 0.1694 1.8936
-3.6416 -2.0683 4.4206
0.0000 0.0000 0.0000
-0.3218 -2.1881 2.4710

=====

InSbBrF2 PBE relaxed; symmetry = P4/mmm; E_form (uncorrected) = -1413 meV/atom
1.0
4.3989 0.0000 0.0000
0.0000 4.3989 0.0000
0.0000 0.0000 6.2299
F Sb Br In
2 1 1 1
Cartesian
0.0000 2.1994 0.0000
2.1994 0.0000 0.0000
0.0000 0.0000 0.0000
2.1994 2.1994 3.1149
0.0000 0.0000 3.1149

=====

Calculated total energy (eV per atom), listed in the same order as above: -5.8588 -7.4413 -3.8681
Calculated total moment (μB per cell), listed in the same order as above: 0.00 5.51 0.00